[1]
The following is a PBE calculation of crystalline LiTlH2Br at its relaxed geometry, from Alexandria.

It has space group Pm (No. 6), with a = 3.935 Å, b = 4.515 Å, c = 5.743 Å, α = 90.00°, β = 90.16° and γ = 90.00°. The inequivalent atoms are Li at (0.000, 0.000, 0.000), Tl at (0.505, 0.500, 0.315), H at (0.508, 0.085, 0.802) and Br at (0.009, 0.500, 0.812).

The calculation puts the total energy at -14.47 eV for the cell shown. The excess energy over the best structure of this formula in the dataset is 0.113 eV/atom. The magnetization is 0.000 Bohr magnetons per cell.

=====

[2]
The following is a PBE calculation of crystalline MnRe2Mo at its relaxed geometry, from Alexandria.

It has space group I-42d (No. 122), with a = 6.962 Å, b = 6.962 Å, c = 5.089 Å, α = 90.00°, β = 90.00° and γ = 90.00°. The inequivalent atoms are Mn at (0.000, 0.000, 0.000), Re at (0.219, 0.250, 0.125) and Mo at (0.000, 0.000, 0.500).

The calculation puts the total energy at -166.18 eV for the cell shown. The excess energy over the best structure of this formula in the dataset is 0.749 eV/atom. As for the formation energy: 0.838 eV per atom. The magnetization is 0.058 Bohr magnetons per cell.

=====

[3]
The following is a PBE calculation of crystalline BaZn4Au4 at its relaxed geometry, from Alexandria.

It has space group P4_2/nmc (No. 137, origin choice 2), with a = 6.561 Å, b = 6.561 Å, c = 8.847 Å, α = 90.00°, β = 90.00° and γ = 90.00°. The inequivalent atoms are Ba at (0.250, 0.750, 0.250), Zn at (0.010, 0.250, 0.138) and Au at (0.041, 0.250, 0.436).

The calculation puts the total energy at -46.89 eV for the cell shown. The excess energy over the best structure of this formula in the dataset is 0.009 eV/atom. As for the formation energy: -0.368 eV per atom. The magnetization is 0.000 Bohr magnetons per cell.